# CuAuSO (GGA-PBE, optimized geometry)
# E above lowest polymorph ... 0.000 eV per atom
# Calculated volume ... 78.3 Å³/f.u.
# Formation energy from raw total energies ... -0.2811 eV/atom
data_CuAuSO
_chemical_formula_sum 'Cu2 Au2 S2 O2'
_space_group_name_H-M_alt 'P 1'
_space_group_IT_number 1
_space_group_name_Hall 'P 1'
_cell_length_a 5.5872
_cell_length_b 5.8550
_cell_length_c 6.0381
_cell_angle_alpha 64.19
_cell_angle_beta 68.80
_cell_angle_gamma 64.36
loop_
_atom_site_label
_atom_site_fract_x
_atom_site_fract_y
_atom_site_fract_z
Cu1 0.0000 0.0000 0.0000
Cu2 0.0991 0.5716 0.9316
Au1 0.6063 0.8425 0.0774
Au2 0.9027 0.0259 0.6063
S1 0.1472 0.1449 0.1757
S2 0.5267 0.4674 0.4744
O1 0.3032 0.4000 0.4722
O2 0.4663 0.5573 0.6935